[1]
Compound: TbTm2Hf
Source: Alexandria via LeMat-Bulk
Functional: PBE
Structure: relaxed

a = 4.8139 Å, b = 4.8053 Å, c = 4.8053 Å
α = 90.00°, β = 90.00°, γ = 90.00°
Last column: nearest neighbours and their distance in Å.
Atoms (fractional coordinates):
Tm 0.0000 0.0000 0.5000  4 Tm 3.40, 4 Hf 3.40, 4 Tb 3.40
Tm 0.0000 0.5000 0.0000  4 Tm 3.40, 4 Tb 3.40, 4 Hf 3.40
Hf 0.5000 0.0000 0.0000  4 Tb 3.40, 8 Tm 3.40
Tb 0.5000 0.5000 0.5000  4 Hf 3.40, 8 Tm 3.40

Results
Energy of formation (eV per atom): 0.13
Uncorrected energy (eV/atom): -5.749

[2]
Compound: TbHfV4
Source: Alexandria via LeMat-Bulk
Functional: PBE
Structure: relaxed

a = 5.2624 Å, b = 5.2624 Å, c = 5.2624 Å
α = 60.00°, β = 60.00°, γ = 60.00°
Last column: nearest neighbours and their distance in Å.
Atoms (fractional coordinates):
V 0.6246 0.1262 0.6246  6 V 2.62-2.64
V 0.6246 0.6246 0.1262  6 V 2.62-2.64
V 0.6246 0.6246 0.6246  6 V 2.62-2.64
V 0.1262 0.6246 0.6246  6 V 2.62-2.64
Hf 0.2500 0.2500 0.2500  12 V 3.08, 4 Tb 3.22
Tb 0.0000 0.0000 0.0000  12 V 3.09, 4 Hf 3.22

Results
Energy of formation (eV per atom): 0.23
Uncorrected energy (eV/atom): -8.276

[3]
Compound: TbHfW4
Source: Alexandria via LeMat-Bulk
Functional: PBE
Structure: relaxed

a = 5.4693 Å, b = 5.4693 Å, c = 5.4693 Å
α = 60.00°, β = 60.00°, γ = 60.00°
Last column: nearest neighbours and their distance in Å.
Atoms (fractional coordinates):
W 0.6249 0.6249 0.1254  6 W 2.73-2.74
W 0.6249 0.6249 0.6249  6 W 2.73-2.74
W 0.1254 0.6249 0.6249  6 W 2.73-2.74
W 0.6249 0.1254 0.6249  6 W 2.73-2.74
Tb 0.2500 0.2500 0.2500  12 W 3.21, 4 Hf 3.35
Hf 0.0000 0.0000 0.0000  12 W 3.21, 4 Tb 3.35

Results
Energy of formation (eV per atom): 0.03
Uncorrected energy (eV/atom): -11.036

[4]
Compound: TbHf2W
Source: Alexandria via LeMat-Bulk
Functional: PBE
Structure: relaxed

a = 3.4069 Å, b = 3.4069 Å, c = 7.8376 Å
α = 90.00°, β = 90.00°, γ = 90.00°
Last column: nearest neighbours and their distance in Å.
Atoms (fractional coordinates):
Hf 0.0000 0.0000 0.8045  4 W 2.85, 1 Hf 3.06
Hf 0.0000 0.0000 0.1955  4 W 2.85, 1 Hf 3.06
Tb 0.5000 0.5000 0.5000  8 Hf 3.39, 4 Tb 3.41
W 0.5000 0.5000 0.0000  8 Hf 2.85

Results
Energy of formation (eV per atom): 0.15
Uncorrected energy (eV/atom): -9.224

[5]
Compound: TbY2Hf
Source: Alexandria via LeMat-Bulk
Functional: PBE
Structure: relaxed

a = 3.4376 Å, b = 3.4376 Å, c = 11.5037 Å
α = 81.41°, β = 81.41°, γ = 60.00°
Last column: nearest neighbours and their distance in Å.
Atoms (fractional coordinates):
Y 0.2555 0.2555 0.2334  3 Hf 3.31, 6 Y 3.44, 3 Tb 3.61
Y 0.7445 0.7445 0.7666  3 Hf 3.31, 6 Y 3.44, 3 Tb 3.61
Tb 0.5000 0.5000 0.5000  6 Tb 3.44, 6 Y 3.61
Hf 0.0000 0.0000 0.0000  6 Y 3.31, 6 Hf 3.44

Results
Energy of formation (eV per atom): 0.13
Uncorrected energy (eV/atom): -6.751

[6]
Compound: TbY2Hf
Source: Alexandria via LeMat-Bulk
Functional: PBE
Structure: relaxed

a = 4.8781 Å, b = 4.8600 Å, c = 4.8600 Å
α = 90.00°, β = 90.00°, γ = 90.00°
Last column: nearest neighbours and their distance in Å.
Atoms (fractional coordinates):
Y 0.0000 0.5000 0.0000  4 Y 3.44, 4 Hf 3.44, 4 Tb 3.44
Y 0.0000 0.0000 0.5000  4 Y 3.44, 4 Tb 3.44, 4 Hf 3.44
Hf 0.5000 0.0000 0.0000  4 Tb 3.44, 8 Y 3.44
Tb 0.5000 0.5000 0.5000  4 Hf 3.44, 8 Y 3.44

Results
Energy of formation (eV per atom): 0.16
Uncorrected energy (eV/atom): -6.722

[7]
Compound: TbY2Hf
Source: Alexandria via LeMat-Bulk
Functional: PBE
Structure: relaxed

a = 3.4572 Å, b = 3.4572 Å, c = 11.3942 Å
α = 81.27°, β = 81.27°, γ = 60.00°
Last column: nearest neighbours and their distance in Å.
Atoms (fractional coordinates):
Tb 0.5002 0.5002 0.4995  6 Tb 3.46, 6 Y 3.58-3.59
Hf 0.6664 0.6664 0.0007  6 Y 3.29-3.31, 6 Hf 3.46
Y 0.0781 0.0781 0.7656  3 Hf 3.31, 6 Y 3.46, 3 Tb 3.59
Y 0.2553 0.2553 0.2342  3 Hf 3.29, 6 Y 3.46, 3 Tb 3.58

Results
Energy of formation (eV per atom): 0.12
Uncorrected energy (eV/atom): -6.757

[8]
Compound: TbY2Hf
Source: Alexandria via LeMat-Bulk
Functional: PBE
Structure: relaxed

a = 3.9942 Å, b = 3.9942 Å, c = 7.3595 Å
α = 90.00°, β = 90.00°, γ = 90.00°
Last column: nearest neighbours and their distance in Å.
Atoms (fractional coordinates):
Hf 0.5000 0.5000 0.0000  8 Y 3.26
Y 0.0000 0.0000 0.2222  4 Hf 3.26, 1 Y 3.27, 4 Tb 3.49
Y 0.0000 0.0000 0.7778  4 Hf 3.26, 1 Y 3.27, 4 Tb 3.49
Tb 0.5000 0.5000 0.5000  8 Y 3.49, 2 Hf 3.68

Results
Energy of formation (eV per atom): 0.23
Uncorrected energy (eV/atom): -6.645

[9]
Compound: TbHfZn
Source: Alexandria via LeMat-Bulk
Functional: PBE
Structure: relaxed

a = 3.4151 Å, b = 4.8334 Å, c = 4.8334 Å
α = 120.00°, β = 90.00°, γ = 90.00°
Last column: nearest neighbours and their distance in Å.
Atoms (fractional coordinates):
Tb 0.6675 0.6667 0.3333  6 Zn 3.27-3.28, 6 Hf 3.27, 2 Tb 3.42
Zn 0.1641 0.3333 0.6667  3 Hf 2.79
Hf 0.1684 0.0000 0.0000  3 Zn 2.79

Results
Energy of formation (eV per atom): 0.07
Uncorrected energy (eV/atom): -5.213

[10]
Compound: TbHfZn
Source: Alexandria via LeMat-Bulk
Functional: PBE
Structure: relaxed

a = 3.3102 Å, b = 3.3112 Å, c = 14.7132 Å
α = 90.00°, β = 90.00°, γ = 119.99°
Last column: nearest neighbours and their distance in Å.
Atoms (fractional coordinates):
Zn 0.6105 0.2211 0.0000  6 Hf 2.93-2.94
Zn 0.2784 0.5568 0.5000  6 Tb 3.15, 6 Zn 3.31
Tb 0.6112 0.2223 0.3296  3 Zn 3.15, 3 Hf 3.24-3.25, 6 Tb 3.31
Tb 0.6112 0.2223 0.6704  3 Zn 3.15, 3 Hf 3.24-3.25, 6 Tb 3.31
Hf 0.2777 0.5553 0.1515  3 Zn 2.93-2.94, 3 Tb 3.24-3.25
Hf 0.2777 0.5553 0.8485  3 Zn 2.93-2.94, 3 Tb 3.24-3.25

Results
Energy of formation (eV per atom): 0.10
Uncorrected energy (eV/atom): -5.190

[11]
Compound: Tb5HfZn4
Source: Alexandria via LeMat-Bulk
Functional: PBE
Structure: relaxed

a = 3.5078 Å, b = 3.5078 Å, c = 19.2870 Å
α = 90.00°, β = 90.00°, γ = 90.00°
Last column: nearest neighbours and their distance in Å.
Atoms (fractional coordinates):
Tb 0.5000 0.5000 0.1160  4 Zn 3.12, 4 Hf 3.34
Tb 0.5000 0.5000 0.3105  8 Zn 3.08-3.10
Tb 0.5000 0.5000 0.8840  4 Zn 3.12, 4 Hf 3.34
Tb 0.5000 0.5000 0.6895  8 Zn 3.08-3.10
Tb 0.5000 0.5000 0.5000  8 Zn 3.08
Zn 0.0000 0.0000 0.5949  8 Tb 3.08
Zn 0.0000 0.0000 0.2145  8 Tb 3.10-3.12
Zn 0.0000 0.0000 0.7855  8 Tb 3.10-3.12
Zn 0.0000 0.0000 0.4051  8 Tb 3.08
Hf 0.0000 0.0000 0.0000  8 Tb 3.34, 4 Hf 3.51

Results
Energy of formation (eV per atom): -0.22
Uncorrected energy (eV/atom): -4.043

[12]
Compound: Tb2HfZn
Source: Alexandria via LeMat-Bulk
Functional: PBE
Structure: relaxed

a = 3.3962 Å, b = 3.3962 Å, c = 8.5937 Å
α = 90.00°, β = 90.00°, γ = 90.00°
Last column: nearest neighbours and their distance in Å.
Atoms (fractional coordinates):
Zn 0.5000 0.5000 0.0000  8 Tb 3.12, 4 Zn 3.40
Tb 0.0000 0.0000 0.7686  4 Zn 3.12, 4 Hf 3.33, 4 Tb 3.40
Tb 0.0000 0.0000 0.2314  4 Zn 3.12, 4 Hf 3.33, 4 Tb 3.40
Hf 0.5000 0.5000 0.5000  8 Tb 3.33, 4 Hf 3.40

Results
Energy of formation (eV per atom): -0.08
Uncorrected energy (eV/atom): -5.201

[13]
Compound: Tb5HfZn6
Source: Alexandria via LeMat-Bulk
Functional: PBE
Structure: relaxed

a = 4.9815 Å, b = 7.0413 Å, c = 8.6779 Å
α = 66.07°, β = 73.22°, γ = 90.00°
Last column: nearest neighbours and their distance in Å.
Atoms (fractional coordinates):
Tb 0.3374 0.3373 0.3254  8 Zn 3.12-3.16, 2 Tb 3.49
Tb 0.3261 0.8257 0.3486  8 Zn 2.99-3.15
Tb 0.0000 0.5000 0.0000  8 Zn 3.03-3.19
Tb 0.6626 0.6627 0.6746  8 Zn 3.12-3.16, 2 Tb 3.49
Tb 0.6739 0.1743 0.6514  8 Zn 2.99-3.15
Zn 0.5000 0.2176 0.0000  2 Hf 2.92, 6 Tb 3.04-3.19, 1 Zn 3.06
Zn 0.8425 0.0746 0.3160  1 Hf 2.89, 7 Tb 2.99-3.16
Zn 0.1576 0.3907 0.6839  1 Hf 2.89, 7 Tb 2.99-3.16
Zn 0.5000 0.7824 0.0000  2 Hf 2.92, 6 Tb 3.04-3.19, 1 Zn 3.06
Zn 0.1575 0.9254 0.6840  1 Hf 2.89, 7 Tb 2.99-3.16
Zn 0.8424 0.6093 0.3161  1 Hf 2.89, 7 Tb 2.99-3.16
Hf 0.0000 0.0000 0.0000  8 Zn 2.89-2.92

Results
Energy of formation (eV per atom): -0.29
Uncorrected energy (eV/atom): -3.681

Mass density values, unit Mg/m³, following the record order: 10.09 8.72 15.40 12.77 7.38 7.43 7.37 7.29 9.68 9.58 8.64 9.41 8.59.
Magnetization values, unit Bohr magnetons per cell, following the record order: 0.00 0.00 0.00 0.00 0.00 0.00 0.00 0.00 0.00 0.00 0.00 0.00 0.00.